Ac6HoEr2 (GGA-PBE, optimized geometry); Fermi-level density of states = 1.57 states/eV per atom; calculated volume = 366.0 Å³/f.u.; symmetry = C2/c; energy = -4.10 eV/atom
1.0
8.537 -6.437 0.000
8.537 6.437 0.000
-0.561 0.000 6.661
Ac Ho Er
12 2 4
direct
0.037 0.304 0.070 Ac
0.180 0.694 0.513 Ac
0.304 0.037 0.570 Ac
0.306 0.820 0.987 Ac
0.315 0.470 0.066 Ac
0.470 0.315 0.566 Ac
0.530 0.685 0.434 Ac
0.685 0.530 0.934 Ac
0.694 0.180 0.013 Ac
0.696 0.963 0.430 Ac
0.820 0.306 0.487 Ac
0.963 0.696 0.930 Ac
0.011 0.989 0.250 Ho
0.989 0.011 0.750 Ho
0.127 0.385 0.591 Er
0.385 0.127 0.091 Er
0.615 0.873 0.909 Er
0.873 0.615 0.409 Er